1.
Below is a geometry-optimized MgSc5Zn4 structure, with properties calculated at the PBE level.

Properties
- Calculated formation energy: -0.307 eV/atom
- N(E_F): 9.6 states/eV per cell

Cell: 3.357 3.357 17.501 Å, 90.00 90.00 90.00°
Fractional positions:
Mg  0.000  0.000  0.000
Sc  0.500  0.500  0.120
Sc  0.500  0.500  0.309
Sc  0.500  0.500  0.500
Sc  0.500  0.500  0.691
Sc  0.500  0.500  0.880
Zn  0.000  0.000  0.213
Zn  0.000  0.000  0.404
Zn  0.000  0.000  0.596
Zn  0.000  0.000  0.787

***

2.
Below is a geometry-optimized Mg2ScZn2 structure, with properties calculated at the PBE level.

Properties
- Calculated formation energy: -0.064 eV/atom
- N(E_F): 4.3 states/eV per cell
- Offset from the most stable computed form: 45.8 meV per atom

Cell: 8.032 8.032 2.937 Å, 90.00 90.00 90.00°
Fractional positions:
Mg  0.128  0.372  0.000
Mg  0.372  0.872  0.000
Mg  0.628  0.128  0.000
Mg  0.872  0.628  0.000
Sc  0.000  0.000  0.000
Sc  0.500  0.500  0.000
Zn  0.173  0.673  0.500
Zn  0.327  0.173  0.500
Zn  0.673  0.827  0.500
Zn  0.827  0.327  0.500

***

3.
Below is a geometry-optimized Mg3Sc2Zn4 structure, with properties calculated at the PBE level.

Properties
- Calculated formation energy: -0.142 eV/atom
- N(E_F): 12.4 states/eV per cell

Cell: 8.900 8.900 7.210 Å, 90.00 90.00 142.44°
Fractional positions:
Mg  0.000  0.000  0.000
Mg  0.007  0.493  0.250
Mg  0.493  0.007  0.750
Mg  0.500  0.500  0.500
Mg  0.507  0.993  0.250
Mg  0.993  0.507  0.750
Sc  0.091  0.909  0.394
Sc  0.409  0.591  0.894
Sc  0.591  0.409  0.106
Sc  0.909  0.091  0.606
Zn  0.155  0.845  0.021
Zn  0.173  0.327  0.250
Zn  0.327  0.173  0.750
Zn  0.345  0.655  0.521
Zn  0.655  0.345  0.479
Zn  0.673  0.827  0.250
Zn  0.827  0.673  0.750
Zn  0.845  0.155  0.979

***

4.
Below is a geometry-optimized Mg4ScZn5 structure, with properties calculated at the PBE level.

Properties
- Calculated formation energy: -0.139 eV/atom
- N(E_F): 3.8 states/eV per cell

Cell: 3.345 3.345 16.185 Å, 90.00 90.00 90.00°
Fractional positions:
Mg  0.000  0.000  0.099
Mg  0.000  0.000  0.296
Mg  0.000  0.000  0.704
Mg  0.000  0.000  0.901
Sc  0.000  0.000  0.500
Zn  0.500  0.500  0.000
Zn  0.500  0.500  0.197
Zn  0.500  0.500  0.395
Zn  0.500  0.500  0.605
Zn  0.500  0.500  0.803

***

5.
Below is a geometry-optimized Mg2ScZn2 structure, with properties calculated at the PBE level.

Properties
- Calculated formation energy: -0.093 eV/atom
- N(E_F): 6.1 states/eV per cell
- Offset from the most stable computed form: 17.4 meV per atom

Cell: 4.051 4.051 12.158 Å, 90.00 90.00 90.00°
Fractional positions:
Mg  0.000  0.500  0.250
Mg  0.000  0.500  0.750
Mg  0.500  0.000  0.250
Mg  0.500  0.000  0.750
Sc  0.000  0.000  0.000
Sc  0.500  0.500  0.500
Zn  0.000  0.000  0.402
Zn  0.000  0.000  0.598
Zn  0.500  0.500  0.098
Zn  0.500  0.500  0.902

***

6.
Below is a geometry-optimized MgScZn structure, with properties calculated at the PBE level.

Properties
- Calculated formation energy: -0.045 eV/atom
- N(E_F): 4.8 states/eV per cell

Cell: 3.053 4.479 8.782 Å, 90.00 90.00 90.00°
Fractional positions:
Mg  0.000  0.000  0.000
Mg  0.500  0.500  0.500
Sc  0.000  0.000  0.670
Sc  0.500  0.500  0.170
Zn  0.000  0.000  0.330
Zn  0.500  0.500  0.830

***

7.
Below is a geometry-optimized MgSc4Zn2 structure, with properties calculated at the PBE level.

Properties
- Calculated formation energy: -0.120 eV/atom
- N(E_F): 7.6 states/eV per cell

Cell: 7.753 7.753 7.753 Å, 36.30 36.30 36.30°
Fractional positions:
Mg  0.000  0.000  0.000
Sc  0.144  0.144  0.144
Sc  0.408  0.408  0.408
Sc  0.592  0.592  0.592
Sc  0.856  0.856  0.856
Zn  0.271  0.271  0.271
Zn  0.729  0.729  0.729

***

8.
Below is a geometry-optimized MgSc2Zn structure, with properties calculated at the PBE level.

Properties
- Calculated formation energy: 0.133 eV/atom
- N(E_F): 15.0 states/eV per cell

Cell: 3.167 3.167 32.081 Å, 90.00 90.00 120.00°
Fractional positions:
Mg  0.000  0.000  0.000
Mg  0.333  0.667  0.667
Mg  0.667  0.333  0.333
Sc  0.000  0.000  0.098
Sc  0.000  0.000  0.902
Sc  0.333  0.667  0.569
Sc  0.333  0.667  0.764
Sc  0.667  0.333  0.236
Sc  0.667  0.333  0.431
Zn  0.000  0.000  0.500
Zn  0.333  0.667  0.167
Zn  0.667  0.333  0.833